Record 1
PBE Pr5Tm2Sn4, optimized geometry; energy relative to the elements = -0.2534 eV/atom; total energy = -4.69 eV per atom; DOS at the Fermi energy = 10.69 states/eV per cell
1.0
13.5931 -1.7807 0.0000
13.5931 1.7807 0.0000
-0.3154 0.0000 7.5736
Pr Tm Sn
5 2 4
direct
0.0000 0.0000 0.0000
0.2652 0.2652 0.7725
0.3627 0.3627 0.1627
0.6373 0.6373 0.8373
0.7348 0.7348 0.2275
0.4129 0.4129 0.6928
0.5871 0.5871 0.3072
0.1697 0.1697 0.4983
0.4705 0.4705 0.3397
0.5295 0.5295 0.6603
0.8303 0.8303 0.5017

***

Record 2
PBE Tb4SmTm, optimized geometry; energy relative to the elements = 0.2662 eV/atom; total energy = -4.35 eV per atom; DOS at the Fermi energy = 9.54 states/eV per cell; distance to the lowest polymorph of the same formula = 249 meV/atom
1.0
0.0000 4.6466 4.6466
4.6466 0.0000 4.6466
4.6466 4.6466 0.0000
Tb Sm Tm
4 1 1
direct
0.1252 0.1252 0.1252
0.1252 0.1252 0.6243
0.1252 0.6243 0.1252
0.6243 0.1252 0.1252
0.7500 0.7500 0.7500
0.5000 0.5000 0.5000

***

Record 3
PBE RbPmB2H8, optimized geometry; total energy = -4.12 eV per atom; DOS at the Fermi energy = 0.89 states/eV per cell
1.0
2.0707 1.1955 8.3317
-2.0707 1.1955 8.3317
0.0000 -2.3911 8.3317
Rb Pm B H
1 1 2 8
direct
0.0000 0.0000 0.0000
0.5000 0.5000 0.5000
0.2393 0.2393 0.2393
0.7607 0.7607 0.7607
0.0588 0.0588 0.5494
0.0588 0.5494 0.0588
0.2884 0.2884 0.2884
0.4506 0.9412 0.9412
0.5494 0.0588 0.0588
0.7116 0.7116 0.7116
0.9412 0.4506 0.9412
0.9412 0.9412 0.4506

***

Record 4
PBE Pm4SnAu, optimized geometry; energy relative to the elements = -0.4198 eV/atom; total energy = -4.80 eV per atom; DOS at the Fermi energy = 12.63 states/eV per cell
1.0
2.8028 -10.5972 0.0000
2.8028 10.5972 0.0000
0.0000 0.0000 6.4878
Pm Sn Au
8 2 2
direct
0.0567 0.9433 0.5000
0.2060 0.7940 0.2553
0.2064 0.7936 0.7430
0.3857 0.6143 0.4988
0.6143 0.3857 0.9988
0.7936 0.2064 0.2430
0.7940 0.2060 0.7553
0.9433 0.0567 0.0000
0.3470 0.6530 0.9993
0.6530 0.3470 0.4993
0.0803 0.9197 0.9994
0.9197 0.0803 0.4994